# 1
First-principles (PBE-GGA) data for a relaxed BeZn2GaO4 crystal, as listed in the Alexandria database.

Cell: 5.5285 5.5285 5.5285 Å, 132.96 132.96 68.71°
Fractional coordinates of all 8 atoms:
Be  0.0000  0.0000  0.0000
Zn  0.2500  0.7500  0.5000
Zn  0.7500  0.2500  0.5000
Ga  0.5000  0.5000  0.0000
O  0.1187  0.1187  0.4491
O  0.3304  0.8813  0.0000
O  0.6696  0.6696  0.5509
O  0.8813  0.3304  0.0000

The formation energy (no corrections) comes out at -1.62 eV/atom. As for the space-group type: I-42m.

# 2
First-principles (PBE-GGA) data for a relaxed BeGa2Os2 crystal, as listed in the Alexandria database.

Cell: 5.9885 5.9885 3.9690 Å, 90.00 90.00 90.00°
Fractional coordinates of all 10 atoms:
Be  0.0000  0.0000  0.0000
Be  0.5000  0.5000  0.0000
Ga  0.1602  0.3398  0.5000
Ga  0.3398  0.8398  0.5000
Ga  0.6602  0.1602  0.5000
Ga  0.8398  0.6602  0.5000
Os  0.1542  0.6542  0.0000
Os  0.3458  0.1542  0.0000
Os  0.6542  0.8458  0.0000
Os  0.8458  0.3458  0.0000

As for the space-group type: P4/mbm. For the energy relative to the elements, the calculation gives 20 meV/atom.

Let's list VASP energy in order: -42.120, -64.284 eV per cell.